[1]
Computed, not measured: a relaxed structure of Pm2SmHoEr2 at the GGA-PBE level of DFT.

Unit cell a=3.389 b=6.567 c=17.990 alpha=90.00 beta=90.00 gamma=90.00
Element x y z (fractional)
Er  0.500  0.227  0.646
Er  0.000  0.273  0.146
Pm  0.500  0.728  0.687
Pm  0.000  0.228  0.813
Ho  0.500  0.500  0.500
Er  0.000  0.727  0.854
Sm  0.000  0.000  0.500
Er  0.500  0.773  0.354
Ho  0.000  0.000  0.000
Pm  0.500  0.272  0.313
Pm  0.000  0.772  0.187
Sm  0.500  0.500  0.000

Computed properties:
Symmetry: Pnnm
Magnetization: 0.0 μB per formula unit
Raw total energy: -52.616 eV/cell


[2]
Computed, not measured: a relaxed structure of TiCdInAs2 at the GGA-PBE level of DFT.

Unit cell a=4.892 b=5.511 c=4.892 alpha=90.00 beta=90.00 gamma=90.00
Element x y z (fractional)
Cd  0.000  0.500  0.000
Ti  0.000  0.000  0.000
In  0.500  0.500  0.500
As  0.500  0.000  0.000
As  0.000  0.000  0.500

Computed properties:
Symmetry: P4/mmm
Magnetization: 0.0 μB per formula unit
Raw total energy: -20.548 eV/cell


[3]
Computed, not measured: a relaxed structure of Tb2HoTl3 at the GGA-PBE level of DFT.

Unit cell a=3.669 b=3.669 c=12.250 alpha=90.00 beta=90.00 gamma=90.00
Element x y z (fractional)
Tl  0.000  0.000  0.335
Tl  0.000  0.000  0.000
Tb  0.500  0.500  0.167
Ho  0.500  0.500  0.500
Tb  0.500  0.500  0.833
Tl  0.000  0.000  0.665

Computed properties:
Symmetry: P4/mmm
Magnetization: 0.0 μB per formula unit
Raw total energy: -23.032 eV/cell